No. 1
# Cu2IrCl PBE relaxed
data_Cu2IrCl
_chemical_formula_sum 'Cu2 Ir1 Cl1'
_space_group_name_H-M_alt 'P 4/m m m'
_space_group_IT_number 123
_space_group_name_Hall '-P 4 2'
_cell_length_a 4.807
_cell_length_b 4.807
_cell_length_c 2.577
_cell_angle_alpha 90.00
_cell_angle_beta 90.00
_cell_angle_gamma 90.00
loop_
_atom_site_label
_atom_site_type_symbol
_atom_site_fract_x
_atom_site_fract_y
_atom_site_fract_z
_atom_site_occupancy
Cu1 Cu 0.000 0.500 0.000 1
Ir1 Ir 0.000 0.000 0.500 1
Cl1 Cl 0.500 0.500 0.500 1
# density of states at the Fermi level	4.00	states/eV/cell
# energy above the most stable polymorph in this dataset	345	meV/atom

=====

No. 2
# Cu2IrCl PBE relaxed
data_Cu2IrCl
_chemical_formula_sum 'Cu8 Ir4 Cl4'
_space_group_name_H-M_alt 'F -4 3 m'
_space_group_IT_number 216
_space_group_name_Hall 'F -4 2 3'
_cell_length_a 6.130
_cell_length_b 6.130
_cell_length_c 6.130
_cell_angle_alpha 90.00
_cell_angle_beta 90.00
_cell_angle_gamma 90.00
loop_
_atom_site_label
_atom_site_type_symbol
_atom_site_fract_x
_atom_site_fract_y
_atom_site_fract_z
_atom_site_occupancy
Cu1 Cu 0.000 0.000 0.000 1
Cu2 Cu 0.250 0.250 0.250 1
Ir1 Ir 0.250 0.250 0.750 1
Cl1 Cl 0.000 0.000 0.500 1
# density of states at the Fermi level	15.12	states/eV/cell
# energy above the most stable polymorph in this dataset	567	meV/atom

=====

No. 3
# Cu2IrCl6 PBE relaxed
data_Cu2IrCl6
_chemical_formula_sum 'Cu4 Ir2 Cl12'
_space_group_name_H-M_alt 'P 1 21/c 1'
_space_group_IT_number 14
_space_group_name_Hall '-P 2ybc'
_cell_length_a 6.427
_cell_length_b 6.535
_cell_length_c 12.208
_cell_angle_alpha 90.00
_cell_angle_beta 115.82
_cell_angle_gamma 90.00
loop_
_atom_site_label
_atom_site_type_symbol
_atom_site_fract_x
_atom_site_fract_y
_atom_site_fract_z
_atom_site_occupancy
Cu1 Cu 0.063 0.112 0.113 1
Ir1 Ir 0.500 0.000 0.000 1
Cl1 Cl 0.150 0.139 0.851 1
Cl2 Cl 0.270 0.715 0.995 1
Cl3 Cl 0.426 0.149 0.154 1
# density of states at the Fermi level	11.63	states/eV/cell
# energy above the most stable polymorph in this dataset	5	meV/atom

=====

Number 1: M_tot 0.000 Bohr magnetons per cell, ΔE_f (raw) 559 meV per atom, DFT total energy -4.166 eV per atom. Number 2: M_tot 5.438 Bohr magnetons per cell, ΔE_f (raw) 781 meV per atom, DFT total energy -3.944 eV per atom. Number 3: M_tot 2.067 Bohr magnetons per cell, ΔE_f (raw) -468 meV per atom, DFT total energy -3.594 eV per atom.